# 1
DFT (PBE-GGA) results for a relaxed Ac12Sn6Ru crystal.

Unit cell a=9.3948 b=9.3948 c=9.3948 alpha=99.16 beta=99.16 gamma=99.16
With the nearest neighbours (Å) after each atom.
Element x y z (fractional)
Ac (0.6861, 0.9448, 0.0098)  1 Ru 2.93
Sn (0.6447, 0.3073, 0.1237)  7 Ac 3.38-3.51
Ac (0.0098, 0.6861, 0.9448)  1 Ru 2.93
Ac (0.9902, 0.3139, 0.0552)  1 Ru 2.93
Ac (0.1909, 0.4292, 0.5644)  4 Sn 3.38-3.48
Sn (0.8763, 0.3553, 0.6927)  7 Ac 3.38-3.51
Sn (0.3073, 0.1237, 0.6447)  7 Ac 3.38-3.51
Ru (0.0000, 0.0000, 0.0000)  6 Ac 2.93
Ac (0.5644, 0.1909, 0.4292)  4 Sn 3.38-3.48
Ac (0.3139, 0.0552, 0.9902)  1 Ru 2.93
Ac (0.0552, 0.9902, 0.3139)  1 Ru 2.93
Ac (0.5708, 0.4356, 0.8091)  4 Sn 3.38-3.48
Ac (0.9448, 0.0098, 0.6861)  1 Ru 2.93
Ac (0.4292, 0.5644, 0.1909)  4 Sn 3.38-3.48
Sn (0.6927, 0.8763, 0.3553)  7 Ac 3.38-3.51
Ac (0.8091, 0.5708, 0.4356)  4 Sn 3.38-3.48
Sn (0.3553, 0.6927, 0.8763)  7 Ac 3.38-3.51
Sn (0.1237, 0.6447, 0.3073)  7 Ac 3.38-3.51
Ac (0.4356, 0.8091, 0.5708)  4 Sn 3.38-3.48

Values from the calculation:
Raw total energy   -90.08 eV for the cell shown
ΔE_f   -38.0 kJ/mol of atoms


# 2
DFT (PBE-GGA) results for a relaxed PuMnFeSi2 crystal.

Unit cell a=3.8579 b=3.8579 c=5.8349 alpha=109.30 beta=109.30 gamma=90.00
With the nearest neighbours (Å) after each atom.
Element x y z (fractional)
Si (0.3793, 0.3793, 0.7585)  2 Mn 2.35, 2 Fe 2.35, 1 Si 2.49
Si (0.6207, 0.6207, 0.2415)  2 Fe 2.35, 2 Mn 2.35, 1 Si 2.49
Fe (0.7500, 0.2500, 0.5000)  4 Si 2.35
Mn (0.2500, 0.7500, 0.5000)  4 Si 2.35
Pu (0.0000, 0.0000, 0.0000)  8 Si 3.00, 4 Fe 3.22, 4 Mn 3.22

Values from the calculation:
Raw total energy   -45.09 eV for the cell shown
Formation energy without anion corrections   -2.28 eV per formula unit


# 3
DFT (PBE-GGA) results for a relaxed CsHfPdS3 crystal.

Unit cell a=3.7739 b=9.0245 c=9.9265 alpha=114.38 beta=90.00 gamma=90.00
With the nearest neighbours (Å) after each atom.
Element x y z (fractional)
Cs (0.2500, 0.2293, 0.2556)  7 S 3.48-3.65, 2 Cs 3.77
S (0.2500, 0.1353, 0.8614)  1 Pd 2.54, 2 Hf 2.56
S (0.7500, 0.2453, 0.5681)  2 Pd 2.36, 1 Hf 2.53
S (0.2500, 0.7547, 0.4319)  2 Pd 2.36, 1 Hf 2.53
Pd (0.7500, 0.8979, 0.4054)  3 S 2.36-2.54
S (0.2500, 0.5279, 0.8680)  3 Hf 2.61-2.62
Pd (0.2500, 0.1021, 0.5946)  3 S 2.36-2.54
S (0.7500, 0.8647, 0.1386)  1 Pd 2.54, 2 Hf 2.56
Cs (0.7500, 0.7707, 0.7444)  7 S 3.48-3.65, 2 Cs 3.77
Hf (0.2500, 0.6824, 0.1568)  6 S 2.53-2.62
S (0.7500, 0.4721, 0.1320)  3 Hf 2.61-2.62
Hf (0.7500, 0.3176, 0.8432)  6 S 2.53-2.62

Values from the calculation:
Raw total energy   -71.28 eV for the cell shown
Formation energy without anion corrections   -7.26 eV per formula unit


# 4
DFT (PBE-GGA) results for a relaxed Nd9In2Sn crystal.

Unit cell a=4.9785 b=4.9785 c=14.9250 alpha=90.00 beta=90.00 gamma=90.00
With the nearest neighbours (Å) after each atom.
Element x y z (fractional)
Nd (0.0000, 0.5000, 0.5000)  8 Nd 3.52, 4 In 3.52
Nd (0.0000, 0.5000, 0.1647)  2 Sn 3.50, 8 Nd 3.50-3.54, 2 In 3.54
Nd (0.5000, 0.0000, 0.1647)  2 Sn 3.50, 8 Nd 3.50-3.54, 2 In 3.54
In (0.0000, 0.0000, 0.6669)  12 Nd 3.52-3.54
Nd (0.5000, 0.0000, 0.5000)  8 Nd 3.52, 4 In 3.52
In (0.0000, 0.0000, 0.3331)  12 Nd 3.52-3.54
Sn (0.0000, 0.0000, 0.0000)  12 Nd 3.50-3.52
Nd (0.0000, 0.5000, 0.8353)  2 Sn 3.50, 8 Nd 3.50-3.54, 2 In 3.54
Nd (0.5000, 0.5000, 0.6671)  4 In 3.52, 8 Nd 3.52-3.54
Nd (0.5000, 0.5000, 0.3329)  4 In 3.52, 8 Nd 3.52-3.54
Nd (0.5000, 0.0000, 0.8353)  2 Sn 3.50, 8 Nd 3.50-3.54, 2 In 3.54
Nd (0.5000, 0.5000, 0.0000)  8 Nd 3.50, 4 Sn 3.52

Values from the calculation:
Raw total energy   -56.43 eV for the cell shown
ΔE_f   -32.5 kJ/mol of atoms


Number 1: total magnetic moment 0.00 μB per formula unit. Number 2: total magnetic moment 8.03 μB per formula unit. Number 3: total magnetic moment 0.00 μB per formula unit. Number 4: total magnetic moment 0.00 μB per formula unit.